(1)
Entry from Alexandria: NdErZnOs after structural relaxation (PBE-GGA).

a b c (Å): 4.974 4.974 4.974
angles (deg): 60.00 60.00 60.00
Sites, in units of the cell vectors:
Nd1 0.000 0.000 0.000
Er1 0.500 0.500 0.500
Zn1 0.750 0.750 0.750
Os1 0.250 0.250 0.250

Energy relative to the elements in eV/atom: -0.192

***

(2)
Entry from Alexandria: NdEr2P after structural relaxation (PBE-GGA).

a b c (Å): 10.496 10.496 10.496
angles (deg): 20.35 20.35 20.35
Sites, in units of the cell vectors:
Nd1 0.000 0.000 0.000
Er1 0.114 0.114 0.114
Er2 0.886 0.886 0.886
P1 0.500 0.500 0.500

Energy relative to the elements in eV/atom: -0.536

***

(3)
Entry from Alexandria: NdEr3P4 after structural relaxation (PBE-GGA).

a b c (Å): 6.962 6.962 4.022
angles (deg): 90.00 90.00 109.47
Sites, in units of the cell vectors:
Nd1 0.000 0.000 0.000
Er1 0.000 0.500 0.500
Er2 0.500 0.000 0.500
Er3 0.500 0.500 0.000
P1 0.254 0.746 0.000
P2 0.258 0.258 0.500
P3 0.742 0.742 0.500
P4 0.746 0.254 0.000

Energy relative to the elements in eV/atom: -1.581

***

(4)
Entry from Alexandria: NdEr2P3 after structural relaxation (PBE-GGA).

a b c (Å): 6.990 6.990 6.990
angles (deg): 146.43 131.72 60.08
Sites, in units of the cell vectors:
Nd1 0.000 0.000 0.000
Er1 0.334 0.334 0.000
Er2 0.666 0.666 0.000
P1 0.173 0.673 0.500
P2 0.500 0.000 0.500
P3 0.827 0.327 0.500

Energy relative to the elements in eV/atom: -1.570

***

(5)
Entry from Alexandria: NdEr5P6 after structural relaxation (PBE-GGA).

a b c (Å): 6.935 6.935 6.934
angles (deg): 99.61 99.61 119.98
Sites, in units of the cell vectors:
Nd1 0.000 0.000 0.000
Er1 0.165 0.835 0.500
Er2 0.333 0.667 0.000
Er3 0.500 0.500 0.500
Er4 0.667 0.333 0.000
Er5 0.835 0.165 0.500
P1 0.085 0.425 0.254
P2 0.255 0.255 0.747
P3 0.425 0.085 0.254
P4 0.575 0.915 0.746
P5 0.745 0.745 0.253
P6 0.915 0.575 0.746

Energy relative to the elements in eV/atom: -1.591

***

(6)
Entry from Alexandria: Nd4ErPa3P8 after structural relaxation (PBE-GGA).

a b c (Å): 8.137 8.137 8.137
angles (deg): 59.71 59.71 59.71
Sites, in units of the cell vectors:
Nd1 0.000 0.000 0.000
Nd2 0.000 0.500 0.500
Nd3 0.500 0.000 0.500
Nd4 0.500 0.500 0.000
Er1 0.500 0.500 0.500
Pa1 0.000 0.000 0.500
Pa2 0.000 0.500 0.000
Pa3 0.500 0.000 0.000
P1 0.242 0.746 0.746
P2 0.245 0.245 0.245
P3 0.254 0.254 0.758
P4 0.254 0.758 0.254
P5 0.746 0.242 0.746
P6 0.746 0.746 0.242
P7 0.755 0.755 0.755
P8 0.758 0.254 0.254

Energy relative to the elements in eV/atom: -1.471

***

(7)
Entry from Alexandria: NdErPa2P4 after structural relaxation (PBE-GGA).

a b c (Å): 6.948 4.011 6.950
angles (deg): 90.00 109.46 90.00
Sites, in units of the cell vectors:
Nd1 0.000 0.000 0.000
Er1 0.000 0.500 0.500
Pa1 0.500 0.000 0.500
Pa2 0.500 0.500 0.000
P1 0.257 0.000 0.747
P2 0.261 0.500 0.259
P3 0.739 0.500 0.741
P4 0.743 0.000 0.253

Energy relative to the elements in eV/atom: -1.431

***

(8)
Entry from Alexandria: Nd3Er2PaP6 after structural relaxation (PBE-GGA).

a b c (Å): 7.021 7.021 7.060
angles (deg): 99.52 99.52 120.00
Sites, in units of the cell vectors:
Nd1 0.000 0.000 0.000
Nd2 0.332 0.668 0.000
Nd3 0.668 0.332 0.000
Er1 0.166 0.834 0.500
Er2 0.834 0.166 0.500
Pa1 0.500 0.500 0.500
P1 0.093 0.422 0.265
P2 0.250 0.250 0.735
P3 0.422 0.093 0.265
P4 0.578 0.907 0.735
P5 0.750 0.750 0.265
P6 0.907 0.578 0.735

Energy relative to the elements in eV/atom: -1.543

***

(9)
Entry from Alexandria: Nd2ErPaP4 after structural relaxation (PBE-GGA).

a b c (Å): 6.999 4.063 7.063
angles (deg): 90.00 109.40 90.00
Sites, in units of the cell vectors:
Nd1 0.000 0.000 0.000
Nd2 0.500 0.500 0.000
Er1 0.000 0.500 0.500
Pa1 0.500 0.000 0.500
P1 0.249 0.000 0.734
P2 0.257 0.500 0.266
P3 0.743 0.500 0.734
P4 0.751 0.000 0.266

Energy relative to the elements in eV/atom: -1.511

***

(10)
Entry from Alexandria: PrNdEr2P4 after structural relaxation (PBE-GGA).

a b c (Å): 7.058 4.081 7.065
angles (deg): 90.00 109.48 90.00
Sites, in units of the cell vectors:
Pr1 0.000 0.000 0.000
Nd1 0.000 0.500 0.500
Er1 0.500 0.000 0.500
Er2 0.500 0.500 0.000
P1 0.263 0.000 0.753
P2 0.263 0.500 0.255
P3 0.737 0.000 0.247
P4 0.737 0.500 0.745

Energy relative to the elements in eV/atom: -1.557

***

(11)
Entry from Alexandria: NdEr2PuP4 after structural relaxation (PBE-GGA).

a b c (Å): 6.954 4.032 6.970
angles (deg): 90.00 109.52 90.00
Sites, in units of the cell vectors:
Nd1 0.000 0.000 0.000
Er1 0.500 0.000 0.500
Er2 0.500 0.500 0.000
Pu1 0.000 0.500 0.500
P1 0.253 0.000 0.744
P2 0.258 0.500 0.259
P3 0.742 0.500 0.741
P4 0.747 0.000 0.256

Energy relative to the elements in eV/atom: -1.458

***

(12)
Entry from Alexandria: NdErPS after structural relaxation (PBE-GGA).

a b c (Å): 7.010 7.010 7.010
angles (deg): 33.27 33.27 33.27
Sites, in units of the cell vectors:
Nd1 0.000 0.000 0.000
Er1 0.506 0.506 0.506
P1 0.248 0.248 0.248
S1 0.758 0.758 0.758

Formation energy (no corrections) in meV per atom: -1844

***

(13)
Entry from Alexandria: NdErSc2P4 after structural relaxation (PBE-GGA).

a b c (Å): 6.767 3.924 6.791
angles (deg): 90.00 109.56 90.00
Sites, in units of the cell vectors:
Nd1 0.000 0.000 0.000
Er1 0.000 0.500 0.500
Sc1 0.500 0.000 0.500
Sc2 0.500 0.500 0.000
P1 0.267 0.000 0.750
P2 0.271 0.500 0.263
P3 0.729 0.500 0.737
P4 0.733 0.000 0.250

Energy relative to the elements in eV/atom: -1.498

***

(14)
Entry from Alexandria: NdEr2ScP4 after structural relaxation (PBE-GGA).

a b c (Å): 6.874 3.978 6.884
angles (deg): 90.00 109.45 90.00
Sites, in units of the cell vectors:
Nd1 0.000 0.000 0.000
Er1 0.000 0.500 0.500
Er2 0.500 0.000 0.500
Sc1 0.500 0.500 0.000
P1 0.262 0.000 0.754
P2 0.262 0.500 0.254
P3 0.738 0.000 0.246
P4 0.738 0.500 0.746

Energy relative to the elements in eV/atom: -1.520

***

(15)
Entry from Alexandria: NdSm3Er2P6 after structural relaxation (PBE-GGA).

a b c (Å): 7.055 7.055 7.054
angles (deg): 99.59 99.59 120.00
Sites, in units of the cell vectors:
Nd1 0.000 0.000 0.000
Sm1 0.166 0.834 0.500
Sm2 0.500 0.500 0.500
Sm3 0.834 0.166 0.500
Er1 0.333 0.667 0.000
Er2 0.667 0.333 0.000
P1 0.082 0.422 0.246
P2 0.258 0.258 0.755
P3 0.422 0.082 0.246
P4 0.578 0.918 0.754
P5 0.742 0.742 0.245
P6 0.918 0.578 0.754

Energy relative to the elements in eV/atom: -1.569

***

(16)
Entry from Alexandria: Nd3SmEr2P6 after structural relaxation (PBE-GGA).

a b c (Å): 7.089 7.089 7.086
angles (deg): 99.59 99.59 119.99
Sites, in units of the cell vectors:
Nd1 0.000 0.000 0.000
Nd2 0.334 0.666 0.000
Nd3 0.666 0.334 0.000
Sm1 0.500 0.500 0.500
Er1 0.167 0.833 0.500
Er2 0.833 0.167 0.500
P1 0.082 0.420 0.259
P2 0.242 0.242 0.740
P3 0.420 0.082 0.259
P4 0.580 0.918 0.741
P5 0.758 0.758 0.260
P6 0.918 0.580 0.741

Energy relative to the elements in eV/atom: -1.558

***

(17)
Entry from Alexandria: Tb2NdErP4 after structural relaxation (PBE-GGA).

a b c (Å): 7.012 4.052 7.014
angles (deg): 90.00 109.46 90.00
Sites, in units of the cell vectors:
Tb1 0.000 0.000 0.000
Tb2 0.500 0.500 0.000
Nd1 0.000 0.500 0.500
Er1 0.500 0.000 0.500
P1 0.255 0.500 0.250
P2 0.257 0.000 0.754
P3 0.743 0.000 0.246
P4 0.745 0.500 0.750

Energy relative to the elements in eV/atom: -1.583

***

(18)
Entry from Alexandria: NdErTeP after structural relaxation (PBE-GGA).

a b c (Å): 7.698 7.698 7.698
angles (deg): 31.11 31.11 31.11
Sites, in units of the cell vectors:
Nd1 0.000 0.000 0.000
Er1 0.807 0.807 0.807
Te1 0.233 0.233 0.233
P1 0.410 0.410 0.410

Formation energy (no corrections) in meV per atom: -1529

***

(19)
Entry from Alexandria: NdEr3Th2P6 after structural relaxation (PBE-GGA).

a b c (Å): 9.069 9.069 8.102
angles (deg): 102.60 102.60 25.94
Sites, in units of the cell vectors:
Nd1 0.000 0.000 0.000
Er1 0.000 0.000 0.500
Er2 0.334 0.334 0.166
Er3 0.666 0.666 0.834
Th1 0.334 0.334 0.669
Th2 0.666 0.666 0.331
P1 0.165 0.165 0.588
P2 0.170 0.170 0.079
P3 0.498 0.498 0.258
P4 0.502 0.502 0.742
P5 0.830 0.830 0.921
P6 0.835 0.835 0.412

Energy relative to the elements in eV/atom: -1.585

***

(20)
Entry from Alexandria: NdEr2Th3P6 after structural relaxation (PBE-GGA).

a b c (Å): 7.104 7.104 7.050
angles (deg): 99.69 99.69 119.92
Sites, in units of the cell vectors:
Nd1 0.000 0.000 0.000
Er1 0.333 0.667 0.000
Er2 0.667 0.333 0.000
Th1 0.165 0.835 0.500
Th2 0.500 0.500 0.500
Th3 0.835 0.165 0.500
P1 0.082 0.422 0.245
P2 0.259 0.259 0.756
P3 0.422 0.082 0.245
P4 0.578 0.918 0.755
P5 0.741 0.741 0.244
P6 0.918 0.578 0.755

Energy relative to the elements in eV/atom: -1.569

***

(21)
Entry from Alexandria: Nd3ErTh2P6 after structural relaxation (PBE-GGA).

a b c (Å): 9.241 9.241 8.254
angles (deg): 103.11 103.11 25.85
Sites, in units of the cell vectors:
Nd1 0.000 0.000 0.000
Nd2 0.334 0.334 0.666
Nd3 0.666 0.666 0.334
Er1 0.000 0.000 0.500
Th1 0.335 0.335 0.170
Th2 0.665 0.665 0.830
P1 0.163 0.163 0.584
P2 0.168 0.168 0.081
P3 0.499 0.499 0.258
P4 0.501 0.501 0.742
P5 0.832 0.832 0.919
P6 0.837 0.837 0.416

Energy relative to the elements in eV/atom: -1.571

***

(22)
Entry from Alexandria: NdEr2TmP4 after structural relaxation (PBE-GGA).

a b c (Å): 6.953 4.017 6.954
angles (deg): 90.00 109.47 90.00
Sites, in units of the cell vectors:
Nd1 0.000 0.000 0.000
Er1 0.000 0.500 0.500
Er2 0.500 0.000 0.500
Tm1 0.500 0.500 0.000
P1 0.255 0.000 0.747
P2 0.259 0.500 0.258
P3 0.741 0.500 0.742
P4 0.745 0.000 0.253

Energy relative to the elements in eV/atom: -1.577

***

(23)
Entry from Alexandria: Nd2ErUP4 after structural relaxation (PBE-GGA).

a b c (Å): 7.000 4.040 7.039
angles (deg): 90.00 109.17 90.00
Sites, in units of the cell vectors:
Nd1 0.000 0.000 0.000
Nd2 0.500 0.500 0.000
Er1 0.000 0.500 0.500
U1 0.500 0.000 0.500
P1 0.250 0.000 0.733
P2 0.259 0.500 0.267
P3 0.741 0.500 0.733
P4 0.750 0.000 0.267

Energy relative to the elements in eV/atom: -1.411

***

(24)
Entry from Alexandria: NdY2ErP4 after structural relaxation (PBE-GGA).

a b c (Å): 7.000 4.045 7.001
angles (deg): 90.00 109.47 90.00
Sites, in units of the cell vectors:
Nd1 0.000 0.000 0.000
Y1 0.000 0.500 0.500
Y2 0.500 0.000 0.500
Er1 0.500 0.500 0.000
P1 0.255 0.000 0.749
P2 0.257 0.500 0.255
P3 0.743 0.500 0.745
P4 0.745 0.000 0.251

Energy relative to the elements in eV/atom: -1.591

***

| no. | E (eV/cell) | D(E_F) (states/eV per cell) |
| --- | --- | --- |
| 1 | -22.60 | 3.60 |
| 2 | -21.45 | 5.27 |
| 3 | -52.74 | 0.82 |
| 4 | -39.54 | 0.81 |
| 5 | -79.13 | 1.13 |
| 6 | -118.93 | 12.22 |
| 7 | -61.41 | 6.65 |
| 8 | -83.90 | 3.67 |
| 9 | -57.33 | 4.49 |
| 10 | -52.77 | 0.80 |
| 11 | -61.53 | 12.01 |
| 12 | -26.24 | 1.59 |
| 13 | -55.62 | 0.89 |
| 14 | -54.03 | 0.69 |
| 15 | -79.34 | 1.56 |
| 16 | -79.30 | 1.56 |
| 17 | -52.89 | 0.73 |
| 18 | -24.00 | 2.82 |
| 19 | -84.78 | 3.75 |
| 20 | -87.43 | 4.77 |
| 21 | -85.01 | 3.93 |
| 22 | -52.62 | 0.82 |
| 23 | -58.32 | 7.02 |
| 24 | -56.63 | 0.81 |